# 1
Here is a PBEsol-optimized structure of Rb3CaS from Alexandria via LeMat-Bulk. Energies are from meta-GGA SCAN.

The value obtained for the density of states at the Fermi level is 3.593 states/eV per cell. The total energy comes out at -83.496 eV per formula unit.

Structure (CIF):
```
data_Rb3CaS
_space_group_name_H-M_alt 'P 1'
_space_group_IT_number 1
_cell_length_a 6.4474
_cell_length_b 6.4474
_cell_length_c 6.4474
_cell_angle_alpha 90.00
_cell_angle_beta 90.00
_cell_angle_gamma 90.00
loop_
_space_group_symop_operation_xyz
'x,y,z'
loop_
_atom_site_label
_atom_site_type_symbol
_atom_site_fract_x
_atom_site_fract_y
_atom_site_fract_z
Ca1 Ca 0.5000 0.5000 0.5000
S1 S 0.0000 0.0000 0.0000
Rb1 Rb 0.0000 0.5000 0.0000
Rb2 Rb 0.0000 0.0000 0.5000
Rb3 Rb 0.5000 0.0000 0.0000
```

=====

# 2
Here is a PBEsol-optimized structure of NbOF3 from Alexandria via LeMat-Bulk. Energies are from meta-GGA SCAN.

The value obtained for the density of states at the Fermi level is 0.000 states/eV per cell. The total energy comes out at -64.939 eV per formula unit.

Structure (CIF):
```
data_NbOF3
_space_group_name_H-M_alt 'P 1'
_space_group_IT_number 1
_cell_length_a 3.8283
_cell_length_b 8.7330
_cell_length_c 8.7330
_cell_angle_alpha 90.00
_cell_angle_beta 90.00
_cell_angle_gamma 90.00
loop_
_space_group_symop_operation_xyz
'x,y,z'
loop_
_atom_site_label
_atom_site_type_symbol
_atom_site_fract_x
_atom_site_fract_y
_atom_site_fract_z
Nb1 Nb 0.0000 0.3601 0.6399
Nb2 Nb 0.5000 0.8601 0.8601
Nb3 Nb 0.5000 0.1399 0.1399
Nb4 Nb 0.0000 0.6399 0.3601
O1 O 0.5000 0.3788 0.6212
O2 O 0.0000 0.8788 0.8788
O3 O 0.0000 0.1212 0.1212
O4 O 0.5000 0.6212 0.3788
F1 F 0.0000 0.5999 0.5999
F2 F 0.0000 0.1481 0.6170
F3 F 0.5000 0.8830 0.6481
F4 F 0.0000 0.3830 0.8519
F5 F 0.5000 0.6481 0.8830
F6 F 0.5000 0.0999 0.9001
F7 F 0.5000 0.9001 0.0999
F8 F 0.5000 0.3519 0.1170
F9 F 0.0000 0.6170 0.1481
F10 F 0.5000 0.1170 0.3519
F11 F 0.0000 0.8519 0.3830
F12 F 0.0000 0.4001 0.4001
```

=====

# 3
Here is a PBEsol-optimized structure of Ag2SIBr from Alexandria via LeMat-Bulk. Energies are from meta-GGA SCAN.

The value obtained for the density of states at the Fermi level is 2.896 states/eV per cell. The total energy comes out at -125.872 eV per formula unit.

Structure (CIF):
```
data_Ag2SIBr
_space_group_name_H-M_alt 'P 1'
_space_group_IT_number 1
_cell_length_a 5.0021
_cell_length_b 5.3453
_cell_length_c 5.3453
_cell_angle_alpha 90.00
_cell_angle_beta 90.00
_cell_angle_gamma 90.00
loop_
_space_group_symop_operation_xyz
'x,y,z'
loop_
_atom_site_label
_atom_site_type_symbol
_atom_site_fract_x
_atom_site_fract_y
_atom_site_fract_z
I1 I 0.0000 0.0000 0.0000
S1 S 0.5000 0.0000 0.0000
Br1 Br 0.5000 0.5000 0.5000
Ag1 Ag 0.0000 0.0000 0.5000
Ag2 Ag 0.0000 0.5000 0.0000
```

=====

# 4
Here is a PBEsol-optimized structure of CoIr2Os from Alexandria via LeMat-Bulk. Energies are from meta-GGA SCAN.

The value obtained for the density of states at the Fermi level is 3.615 states/eV per cell. The formation energy is 37 kJ/mol of formula units.

Structure (CIF):
```
data_CoIr2Os
_space_group_name_H-M_alt 'P 1'
_space_group_IT_number 1
_cell_length_a 2.6754
_cell_length_b 2.6754
_cell_length_c 7.3412
_cell_angle_alpha 90.00
_cell_angle_beta 90.00
_cell_angle_gamma 90.00
loop_
_space_group_symop_operation_xyz
'x,y,z'
loop_
_atom_site_label
_atom_site_type_symbol
_atom_site_fract_x
_atom_site_fract_y
_atom_site_fract_z
Co1 Co 0.5000 0.5000 0.7481
Ir1 Ir 0.0000 0.0000 0.9862
Ir2 Ir 0.5000 0.5000 0.2531
Os1 Os 0.0000 0.0000 0.5127
```

=====

# 5
Here is a PBEsol-optimized structure of Ta2RhAu from Alexandria via LeMat-Bulk. Energies are from meta-GGA SCAN.

The value obtained for the density of states at the Fermi level is 3.099 states/eV per cell. The formation energy is -139 kJ/mol of formula units.

Structure (CIF):
```
data_Ta2RhAu
_space_group_name_H-M_alt 'P 1'
_space_group_IT_number 1
_cell_length_a 2.8204
_cell_length_b 2.8204
_cell_length_c 8.0992
_cell_angle_alpha 90.00
_cell_angle_beta 90.00
_cell_angle_gamma 89.99
loop_
_space_group_symop_operation_xyz
'x,y,z'
loop_
_atom_site_label
_atom_site_type_symbol
_atom_site_fract_x
_atom_site_fract_y
_atom_site_fract_z
Au1 Au 0.5000 0.5000 0.5000
Rh1 Rh 0.5000 0.5000 0.0000
Ta1 Ta 0.0000 0.0000 0.2347
Ta2 Ta 0.0000 0.0000 0.7653
```

=====

# 6
Here is a PBEsol-optimized structure of Mg2AgSe from Alexandria via LeMat-Bulk. Energies are from meta-GGA SCAN.

The value obtained for the density of states at the Fermi level is 0.890 states/eV per cell. The total energy comes out at -63.501 eV per formula unit.

Structure (CIF):
```
data_Mg2AgSe
_space_group_name_H-M_alt 'P 1'
_space_group_IT_number 1
_cell_length_a 3.5333
_cell_length_b 3.7096
_cell_length_c 6.7991
_cell_angle_alpha 105.83
_cell_angle_beta 105.06
_cell_angle_gamma 90.00
loop_
_space_group_symop_operation_xyz
'x,y,z'
loop_
_atom_site_label
_atom_site_type_symbol
_atom_site_fract_x
_atom_site_fract_y
_atom_site_fract_z
Mg1 Mg 0.0379 0.0379 0.0758
Mg2 Mg 0.7926 0.2926 0.5853
Ag1 Ag 0.2064 0.7064 0.4128
Se1 Se 0.4631 0.4631 0.9261
```

=====

# 7
Here is a PBEsol-optimized structure of GaGeRu2I from Alexandria via LeMat-Bulk. Energies are from meta-GGA SCAN.

The value obtained for the density of states at the Fermi level is 3.691 states/eV per cell. The total energy comes out at -132.997 eV per formula unit.

Structure (CIF):
```
data_GaGeRu2I
_space_group_name_H-M_alt 'P 1'
_space_group_IT_number 1
_cell_length_a 4.7812
_cell_length_b 4.7812
_cell_length_c 5.3450
_cell_angle_alpha 90.00
_cell_angle_beta 90.00
_cell_angle_gamma 90.00
loop_
_space_group_symop_operation_xyz
'x,y,z'
loop_
_atom_site_label
_atom_site_type_symbol
_atom_site_fract_x
_atom_site_fract_y
_atom_site_fract_z
I1 I 0.0000 0.0000 0.0000
Ru1 Ru 0.0000 0.5000 0.0000
Ru2 Ru 0.5000 0.0000 0.0000
Ge1 Ge 0.0000 0.0000 0.5000
Ga1 Ga 0.5000 0.5000 0.5000
```

=====

# 8
Here is a PBEsol-optimized structure of MnCrFe3 from Alexandria via LeMat-Bulk. Energies are from meta-GGA SCAN.

The value obtained for the density of states at the Fermi level is 5.853 states/eV per cell. The formation energy is 549 kJ/mol of formula units.

Structure (CIF):
```
data_MnCrFe3
_space_group_name_H-M_alt 'P 1'
_space_group_IT_number 1
_cell_length_a 4.0928
_cell_length_b 4.0928
_cell_length_c 4.0928
_cell_angle_alpha 90.00
_cell_angle_beta 90.00
_cell_angle_gamma 90.00
loop_
_space_group_symop_operation_xyz
'x,y,z'
loop_
_atom_site_label
_atom_site_type_symbol
_atom_site_fract_x
_atom_site_fract_y
_atom_site_fract_z
Cr1 Cr 0.0000 0.0000 0.0000
Mn1 Mn 0.5000 0.5000 0.5000
Fe1 Fe 0.0000 0.5000 0.0000
Fe2 Fe 0.0000 0.0000 0.5000
Fe3 Fe 0.5000 0.0000 0.0000
```

=====

# 9
Here is a PBEsol-optimized structure of Na3AuF from Alexandria via LeMat-Bulk. Energies are from meta-GGA SCAN.

The value obtained for the density of states at the Fermi level is 1.917 states/eV per cell. The total energy comes out at -91.809 eV per formula unit.

Structure (CIF):
```
data_Na3AuF
_space_group_name_H-M_alt 'P 1'
_space_group_IT_number 1
_cell_length_a 4.5776
_cell_length_b 4.5776
_cell_length_c 4.5776
_cell_angle_alpha 90.00
_cell_angle_beta 90.00
_cell_angle_gamma 90.00
loop_
_space_group_symop_operation_xyz
'x,y,z'
loop_
_atom_site_label
_atom_site_type_symbol
_atom_site_fract_x
_atom_site_fract_y
_atom_site_fract_z
Na1 Na 0.0000 0.5000 0.0000
Na2 Na 0.0000 0.0000 0.5000
Na3 Na 0.5000 0.0000 0.0000
Au1 Au 0.5000 0.5000 0.5000
F1 F 0.0000 0.0000 0.0000
```

=====

# 10
Here is a PBEsol-optimized structure of CdCo2P from Alexandria via LeMat-Bulk. Energies are from meta-GGA SCAN.

The value obtained for the density of states at the Fermi level is 6.162 states/eV per cell. The formation energy is 89 kJ/mol of formula units.

Structure (CIF):
```
data_CdCo2P
_space_group_name_H-M_alt 'P 1'
_space_group_IT_number 1
_cell_length_a 5.2608
_cell_length_b 5.2608
_cell_length_c 5.2608
_cell_angle_alpha 104.88
_cell_angle_beta 104.88
_cell_angle_gamma 119.10
loop_
_space_group_symop_operation_xyz
'x,y,z'
loop_
_atom_site_label
_atom_site_type_symbol
_atom_site_fract_x
_atom_site_fract_y
_atom_site_fract_z
P1 P 0.7500 0.2500 0.5000
P2 P 0.5000 0.5000 0.0000
Co1 Co 0.8039 0.8750 0.4289
Co2 Co 0.4461 0.3750 0.5711
Co3 Co 0.6250 0.1961 0.0711
Co4 Co 0.1250 0.5539 0.9289
Cd1 Cd 0.2500 0.7500 0.5000
Cd2 Cd 0.0000 0.0000 0.0000
```

=====

# 11
Here is a PBEsol-optimized structure of Ta3Re2 from Alexandria via LeMat-Bulk. Energies are from meta-GGA SCAN.

The value obtained for the density of states at the Fermi level is 2.262 states/eV per cell. The formation energy is -40 kJ/mol of formula units.

Structure (CIF):
```
data_Ta3Re2
_space_group_name_H-M_alt 'P 1'
_space_group_IT_number 1
_cell_length_a 4.3690
_cell_length_b 4.3690
_cell_length_c 5.4774
_cell_angle_alpha 90.00
_cell_angle_beta 90.00
_cell_angle_gamma 120.00
loop_
_space_group_symop_operation_xyz
'x,y,z'
loop_
_atom_site_label
_atom_site_type_symbol
_atom_site_fract_x
_atom_site_fract_y
_atom_site_fract_z
Re1 Re 0.3333 0.6667 0.8310
Re2 Re 0.6667 0.3333 0.1690
Ta1 Ta 0.0000 0.0000 0.0000
Ta2 Ta 0.3333 0.6667 0.3449
Ta3 Ta 0.6667 0.3333 0.6551
```

=====

# 12
Here is a PBEsol-optimized structure of InTc2Sb from Alexandria via LeMat-Bulk. Energies are from meta-GGA SCAN.

The value obtained for the density of states at the Fermi level is 3.102 states/eV per cell. The total energy comes out at -139.274 eV per formula unit.

Structure (CIF):
```
data_InTc2Sb
_space_group_name_H-M_alt 'P 1'
_space_group_IT_number 1
_cell_length_a 3.1229
_cell_length_b 4.5240
_cell_length_c 5.4212
_cell_angle_alpha 101.79
_cell_angle_beta 90.00
_cell_angle_gamma 110.19
loop_
_space_group_symop_operation_xyz
'x,y,z'
loop_
_atom_site_label
_atom_site_type_symbol
_atom_site_fract_x
_atom_site_fract_y
_atom_site_fract_z
In1 In 0.5000 0.0000 0.0000
Sb1 Sb 0.0000 0.0000 0.5000
Tc1 Tc 0.7439 0.4878 0.7213
Tc2 Tc 0.2561 0.5122 0.2787
```